{"formula": "HfCd2Pt4", "functional": "PBE", "state": "relaxed", "lattice": [[-2.039, 2.039, 7.839], [2.039, -2.039, 7.839], [2.039, 2.039, -7.839]], "species": ["Hf", "Cd", "Cd", "Pt", "Pt", "Pt", "Pt"], "frac_coords": [[0.000, 0.000, 0.000], [0.256, 0.256, 0.000], [0.744, 0.744, 0.000], [0.115, 0.615, 0.500], [0.385, 0.885, 0.500], [0.615, 0.115, 0.500], [0.885, 0.385, 0.500]], "total_energy_ry_per_atom": -0.416, "crystal_system": "tetragonal", "m_tot_mub_per_atom": 0.00, "delta_e_f_ev_per_atom": -0.5311}

***

{"formula": "HfCdPt2", "functional": "PBE", "state": "relaxed", "lattice": [[3.314, 0.000, 0.000], [0.000, 3.314, 0.000], [0.000, 0.000, 6.705]], "species": ["Hf", "Cd", "Pt", "Pt"], "frac_coords": [[0.000, 0.000, 0.000], [0.000, 0.000, 0.500], [0.500, 0.500, 0.228], [0.500, 0.500, 0.772]], "total_energy_ry_per_atom": -0.481, "crystal_system": "tetragonal", "m_tot_mub_per_atom": 0.00, "delta_e_f_ev_per_atom": -0.8058}